An optimized crystal structure of CrCdPO2. Source: the Alexandria database, functional GGA+U.

The structure in extended XYZ format:
```
5
Lattice="-0.860 -2.826 2.836 3.647 0.642 1.746 -2.109 3.699 3.046" Properties=species:S:1:pos:R:3 pbc="T T T"
Cr 0.339 0.758 3.814
O 1.824 0.321 0.873
O -0.430 -1.413 1.418
P -1.055 1.849 1.523
Cd 0.000 0.000 0.000
```

The value obtained for the polymorph energy (0 for the lowest one) is 1.003 eV/atom. As for the space group: P4/mmm. As for the calculated density: 4.30 g cm⁻³.